Pm2GdZn (GGA-PBE, optimized geometry); E above lowest polymorph = 0.000 eV per atom; energy of formation = -0.15 eV per atom; space group = P4/mmm, No. 123
1.0
-1.185 2.465 2.420
2.053 -1.555 2.589
6.634 5.256 -2.105
Pm Zn Gd
2 1 1
Cartesian
1.384 1.097 -0.439 Pm
5.250 4.159 -1.666 Pm
0.434 0.455 2.505 Zn
3.751 3.083 1.452 Gd

PmGd2Zn (GGA-PBE, optimized geometry); E above lowest polymorph = 0.424 eV per atom; energy of formation = 0.26 eV per atom; space group = R-3m, No. 166
1.0
3.509 0.000 0.000
1.754 3.038 0.000
1.754 1.013 11.885
Gd Zn Pm
2 1 1
Cartesian
1.754 1.013 8.833 Gd
5.263 3.038 3.051 Gd
0.000 0.000 0.000 Zn
3.509 2.026 5.942 Pm

Pm2GdZn (GGA-PBE, optimized geometry); E above lowest polymorph = 0.114 eV per atom; energy of formation = -0.03 eV per atom; space group = R-3m, No. 166
1.0
3.636 0.000 0.000
1.818 3.149 0.000
1.818 1.050 10.544
Zn Gd Pm
1 1 2
Cartesian
0.000 0.000 0.000 Zn
3.636 2.099 5.272 Gd
5.454 3.149 8.244 Pm
1.818 1.050 2.300 Pm

Pm2GdZn (GGA-PBE, optimized geometry); E above lowest polymorph = 0.174 eV per atom; energy of formation = 0.03 eV per atom; space group = Fm-3m, No. 225
1.0
-3.175 2.888 -3.320
-4.537 -2.197 -2.006
-4.845 1.741 1.714
Zn Pm Gd
1 2 1
Cartesian
-6.279 1.216 -1.806 Zn
-9.418 1.823 -2.709 Pm
-3.139 0.608 -0.903 Pm
0.000 0.000 0.000 Gd

PmGdZn2 (GGA-PBE, optimized geometry); energy of formation = -0.33 eV per atom; space group = P4/mmm, No. 123
1.0
-0.873 3.293 -1.315
-4.365 -0.085 2.686
2.392 2.214 3.956
Gd Pm Zn
1 1 2
Cartesian
-1.423 2.711 2.664 Gd
-0.437 1.646 -0.657 Pm
-2.182 -0.042 1.343 Zn
1.196 1.107 1.978 Zn

PmGd2Zn (GGA-PBE, optimized geometry); E above lowest polymorph = 0.000 eV per atom; energy of formation = -0.16 eV per atom; space group = P4/mmm, No. 123
1.0
3.604 0.000 0.000
0.000 3.604 0.000
0.000 0.000 8.774
Gd Zn Pm
2 1 1
Cartesian
0.000 0.000 1.798 Gd
0.000 0.000 6.976 Gd
1.802 1.802 0.000 Zn
1.802 1.802 4.387 Pm

PmGd2Zn (GGA-PBE, optimized geometry); E above lowest polymorph = 0.109 eV per atom; energy of formation = -0.05 eV per atom; space group = P4/mmm, No. 123
1.0
4.846 0.000 0.000
0.000 4.787 0.000
0.000 0.000 4.787
Zn Gd Pm
1 2 1
Cartesian
2.423 0.000 0.000 Zn
0.000 0.000 2.393 Gd
0.000 2.393 0.000 Gd
2.423 2.393 2.393 Pm

PmGdZn4 (GGA-PBE, optimized geometry); energy of formation = -0.33 eV per atom; space group = F-43m, No. 216
1.0
5.525 0.000 0.000
2.763 4.785 0.000
2.763 1.595 4.512
Zn Pm Gd
4 1 1
Cartesian
6.906 3.987 2.819 Zn
5.525 1.597 2.819 Zn
4.145 3.987 2.819 Zn
5.525 3.190 0.566 Zn
2.763 1.595 1.128 Pm
0.000 0.000 0.000 Gd

Among the records above, which one has the highest energy of formation?
number 2

Which of these has the highest energy of formation?
number 2